# 1
First-principles (GGA-PBE) data for crystalline LaPNCl2 at its relaxed geometry, as listed in Alexandria.

```
LaPNCl2
1.0
4.565 0.000 0.000
0.000 4.565 0.000
0.000 0.000 4.428
La P N Cl
1 1 1 2
direct
0.000 0.000 0.000
0.500 0.500 0.000
0.500 0.500 0.500
0.000 0.500 0.500
0.500 0.000 0.500
```

Symmetry: P4/mmm
Raw formation energy in eV/atom: -0.093
Excess energy over the best structure of this formula in the dataset in kcal/mol of atoms: 0.00

***

# 2
First-principles (GGA-PBE) data for crystalline LuMgTiTl at its relaxed geometry, as listed in Alexandria.

```
LuMgTiTl
1.0
0.000 3.561 3.561
3.561 0.000 3.561
3.561 3.561 0.000
Lu Mg Ti Tl
1 1 1 1
direct
0.000 0.000 0.000
0.750 0.750 0.750
0.500 0.500 0.500
0.250 0.250 0.250
```

Formation energy from the elements in meV/atom: 59
Symmetry: F-43m

***

# 3
First-principles (GGA-PBE) data for crystalline CaNpGa2O8 at its relaxed geometry, as listed in Alexandria.

```
CaNpGa2O8
1.0
-3.484 3.484 3.324
3.484 -3.484 3.324
3.484 3.484 -3.324
Ca Np Ga O
1 1 2 8
direct
0.000 0.000 0.000
0.750 0.250 0.500
0.250 0.750 0.500
0.500 0.500 0.000
0.043 0.367 0.324
0.043 0.719 0.676
0.115 0.321 0.793
0.281 0.957 0.324
0.528 0.321 0.207
0.633 0.957 0.676
0.679 0.472 0.793
0.679 0.885 0.207
```

Symmetry: I-4m2
Raw formation energy in eV/atom: -1.954

***

# 4
First-principles (GGA-PBE) data for crystalline LaErGa2 at its relaxed geometry, as listed in Alexandria.

```
LaErGa2
1.0
4.158 0.000 0.000
0.000 2.213 5.624
0.000 -2.213 5.624
La Er Ga
1 1 2
direct
0.000 0.000 0.000
0.500 0.723 0.723
0.000 0.280 0.280
0.500 0.424 0.424
```

Formation energy from the elements in meV/atom: -591
Symmetry: Amm2

***

# 5
First-principles (GGA-PBE) data for crystalline Dy2HoNi at its relaxed geometry, as listed in Alexandria.

```
Dy2HoNi
1.0
3.441 0.000 0.000
0.000 3.441 0.000
0.000 0.000 8.597
Dy Ho Ni
2 1 1
direct
0.000 0.000 0.188
0.000 0.000 0.812
0.500 0.500 0.500
0.500 0.500 0.000
```

Formation energy from the elements in meV/atom: -158
Symmetry: P4/mmm
Excess energy over the best structure of this formula in the dataset in kcal/mol of atoms: 2.16

***

# 6
First-principles (GGA-PBE) data for crystalline Ni7PtRh4 at its relaxed geometry, as listed in Alexandria.

```
Ni7PtRh4
1.0
4.479 -2.234 0.000
4.479 2.234 0.000
-3.633 0.000 8.097
Ni Pt Rh
7 1 4
direct
0.000 0.000 0.000
0.149 0.149 0.614
0.208 0.208 0.910
0.376 0.376 0.528
0.624 0.624 0.472
0.792 0.792 0.090
0.851 0.851 0.386
0.500 0.500 0.000
0.094 0.094 0.304
0.361 0.361 0.230
0.639 0.639 0.770
0.906 0.906 0.696
```

Formation energy from the elements in meV/atom: 351
Symmetry: C2/m

***

| no. | size of the total moment (μB per formula unit) |
| --- | --- |
| 1 | 0.7 |
| 2 | 1.8 |
| 3 | 1.1 |
| 4 | 0.0 |
| 5 | 0.0 |
| 6 | 7.7 |